# 1
The following is a DFT calculation (GGA-PBE) of an optimized crystal structure of TcHgW2.

The structure in POSCAR format:
```
TcHgW2
1.0
9.6566 0.0001 0.0001
9.2325 2.8305 0.0001
9.2325 1.3835 2.4693
Hg W Tc
1 2 1
Cartesian
7.0304 1.0535 0.6174
0.1884 0.0282 0.0165
13.8724 2.0788 1.2182
21.0912 3.1606 1.8521
```

- SG = R-3m, No. 166
- formation enthalpy at 0 K (eV/atom) = 0.490
- uncorrected energy (eV for the cell shown) = -34.6


# 2
The following is a DFT calculation (GGA-PBE) of an optimized crystal structure of KLi2CaZn.

The structure in POSCAR format:
```
KLi2CaZn
1.0
5.3336 0.0000 0.0000
0.0000 5.8530 0.0000
0.0000 0.0000 5.3336
Li Ca Zn K
2 1 1 1
Cartesian
0.0000 0.0000 2.6668
2.6668 0.0000 0.0000
2.6668 2.9265 2.6668
0.0000 2.9265 0.0000
0.0000 0.0000 0.0000
```

- ΔE to the lowest computed polymorph (meV per atom) = 420
- SG = P4/mmm, No. 123
- formation enthalpy at 0 K (eV/atom) = 0.536
- uncorrected energy (eV for the cell shown) = -5.5


# 3
The following is a DFT calculation (GGA-PBE) of an optimized crystal structure of TmHgPb.

The structure in POSCAR format:
```
TmHgPb
1.0
3.6936 0.0000 0.0000
0.0000 4.9960 0.0000
0.0000 -2.4980 4.3267
Tm Hg Pb
1 1 1
Cartesian
2.2926 2.4980 1.4422
1.2817 0.0000 2.8845
0.1193 0.0000 0.0000
```

- SG = P3m1, No. 156
- formation enthalpy at 0 K (eV/atom) = -0.285
- uncorrected energy (eV for the cell shown) = -9.3


# 4
The following is a DFT calculation (GGA-PBE) of an optimized crystal structure of YCu2Os2.

The structure in POSCAR format:
```
YCu2Os2
1.0
-1.8683 1.8683 5.9125
1.8683 -1.8683 5.9125
1.8683 1.8683 -5.9125
Cu Os Y
2 2 1
Cartesian
0.0000 0.0000 4.7274
0.0000 0.0000 7.0977
0.0000 1.8683 2.9563
1.8683 0.0000 2.9563
0.0000 0.0000 0.0000
```

- ΔE to the lowest computed polymorph (meV per atom) = 0
- SG = I4/mmm, No. 139
- formation enthalpy at 0 K (eV/atom) = 0.157
- uncorrected energy (eV for the cell shown) = -36.3


# 5
The following is a DFT calculation (GGA-PBE) of an optimized crystal structure of Be2RhI.

The structure in POSCAR format:
```
Be2RhI
1.0
5.4947 0.0000 0.0000
0.0000 5.4947 0.0000
2.7473 2.7473 5.2744
Be Rh I
4 2 2
Cartesian
3.7676 1.3737 1.3186
4.1210 4.4744 3.9558
1.7271 4.1210 1.3186
6.8683 6.5149 3.9558
2.7473 2.7473 0.0000
2.7473 5.4947 2.6372
0.0000 0.0000 0.0000
5.4947 2.7473 2.6372
```

- ΔE to the lowest computed polymorph (meV per atom) = 0
- SG = I-42d, No. 122
- uncorrected energy (eV for the cell shown) = -29.6
- raw formation energy (eV per atom) = 0.390


# 6
The following is a DFT calculation (GGA-PBE) of an optimized crystal structure of Ru3Pt2.

The structure in POSCAR format:
```
Ru3Pt2
1.0
-0.0665 -7.8355 -2.1831
-1.5356 -6.4707 2.5888
-3.2149 -1.6182 -3.7199
Pt Ru
4 6
Cartesian
-1.3159 -11.6539 -0.3715
-2.5289 -7.9281 0.6169
-3.4829 -8.0610 -3.6629
-2.3540 -4.2085 -3.2004
-1.8801 -9.2431 -1.6426
-2.0714 -6.6345 -1.8661
-2.9691 -13.0272 -1.9105
-4.4212 -8.0711 -1.2051
-0.8749 -3.9633 -0.9025
-3.3909 -10.8126 -3.2554
```

- ΔE to the lowest computed polymorph (meV per atom) = 133
- SG = Fdd2, No. 43
- formation enthalpy at 0 K (eV/atom) = 0.154
- uncorrected energy (eV for the cell shown) = -78.3


> The lowest uncorrected energy belongs to which entry?

Ru3Pt2


> Which of these has the highest uncorrected energy?

KLi2CaZn